(1)
Computed, not measured: a relaxed structure of TaIrOs2 at the GGA-PBE level of DFT.

Cell: 2.802 3.859 5.657 Å, 90.00 90.00 90.00°
Space group Pmm2 (No. 25)
Asymmetric unit:
Ta1 0.000 0.000 0.000
Ir1 0.500 0.500 0.251
Os1 0.000 0.000 0.516
Os2 0.500 0.500 0.726

The calculation puts the distance to the lowest polymorph of the same formula at 117.4 meV/atom. As for the density of states at the Fermi level: 0.541 states/eV per atom. For the formation energy, the calculation gives -0.21 eV/atom.

(2)
Computed, not measured: a relaxed structure of TaIr2Os at the GGA-PBE level of DFT.

Cell: 2.7908 2.7908 27.1707 Å, 90.00 90.00 120.00°
Space group R-3m (No. 166, hexagonal axes)
Asymmetric unit:
Ta1 0.0000 0.0000 0.0000
Ir1 0.0000 0.0000 0.2475
Os1 0.0000 0.0000 0.5000

The calculation puts the distance to the lowest polymorph of the same formula at 414.4 meV/atom. As for the density of states at the Fermi level: 0.978 states/eV per atom. For the formation energy, the calculation gives -0.10 eV/atom.

(3)
Computed, not measured: a relaxed structure of Ta2IrOs at the GGA-PBE level of DFT.

Cell: 4.185 4.185 7.411 Å, 90.00 90.00 90.00°
Space group I4/mmm (No. 139)
Asymmetric unit:
Ta1 0.000 0.500 0.250
Ir1 0.000 0.000 0.000
Os1 0.000 0.000 0.500

As for the density of states at the Fermi level: 0.936 states/eV per atom. For the formation energy, the calculation gives -0.39 eV/atom.

(4)
Computed, not measured: a relaxed structure of TaIr2Os at the GGA-PBE level of DFT.

Cell: 3.850 3.850 18.105 Å, 90.00 90.00 90.00°
Space group I-42d (No. 122)
Asymmetric unit:
Ta1 0.000 0.000 0.000
Ir1 0.237 0.250 0.625
Os1 0.000 0.000 0.500

The calculation puts the distance to the lowest polymorph of the same formula at 809.6 meV/atom. As for the density of states at the Fermi level: 1.197 states/eV per atom. For the formation energy, the calculation gives 0.30 eV/atom.

(5)
Computed, not measured: a relaxed structure of TaIr2Os at the GGA-PBE level of DFT.

Cell: 2.777 2.777 7.952 Å, 90.00 90.00 90.00°
Space group P4mm (No. 99)
Asymmetric unit:
Ta1 0.000 0.000 0.000
Ir1 0.000 0.000 0.502
Ir2 0.500 0.500 0.248
Os1 0.500 0.500 0.730

The calculation puts the distance to the lowest polymorph of the same formula at 342.4 meV/atom. As for the density of states at the Fermi level: 0.906 states/eV per atom. For the formation energy, the calculation gives -0.17 eV/atom.

(6)
Computed, not measured: a relaxed structure of TaIr2Os at the GGA-PBE level of DFT.

Cell: 2.802 4.461 4.854 Å, 90.00 90.00 90.00°
Space group Pmm2 (No. 25)
Asymmetric unit:
Ta1 0.000 0.000 0.000
Ir1 0.500 0.000 0.487
Ir2 0.500 0.500 0.830
Os1 0.000 0.500 0.342

The calculation puts the distance to the lowest polymorph of the same formula at 123.9 meV/atom. As for the density of states at the Fermi level: 0.574 states/eV per atom. For the formation energy, the calculation gives -0.39 eV/atom.

(7)
Computed, not measured: a relaxed structure of TaIr2Os at the GGA-PBE level of DFT.

Cell: 6.293 6.293 6.293 Å, 90.00 90.00 90.00°
Space group F-43m (No. 216)
Asymmetric unit:
Ta1 0.000 0.000 0.000
Ir1 0.000 0.000 0.500
Ir2 0.250 0.250 0.750
Os1 0.250 0.250 0.250

The calculation puts the distance to the lowest polymorph of the same formula at 621.5 meV/atom. As for the density of states at the Fermi level: 1.384 states/eV per atom. For the formation energy, the calculation gives 0.11 eV/atom.

(8)
Computed, not measured: a relaxed structure of TaIrOs2 at the GGA-PBE level of DFT.

Cell: 2.800 3.870 5.648 Å, 90.00 90.00 90.00°
Space group Pmmm (No. 47)
Asymmetric unit:
Ta1 0.000 0.000 0.000
Ir1 0.000 0.000 0.500
Os1 0.500 0.500 0.263

The calculation puts the distance to the lowest polymorph of the same formula at 245.3 meV/atom. As for the density of states at the Fermi level: 1.201 states/eV per atom. For the formation energy, the calculation gives -0.09 eV/atom.

(9)
Computed, not measured: a relaxed structure of TaIr2Os at the GGA-PBE level of DFT.

Cell: 2.772 2.772 7.924 Å, 90.00 90.00 90.00°
Space group P4/mmm (No. 123)
Asymmetric unit:
Ta1 0.000 0.000 0.000
Ir1 0.500 0.500 0.261
Os1 0.000 0.000 0.500

The calculation puts the distance to the lowest polymorph of the same formula at 274.6 meV/atom. As for the density of states at the Fermi level: 0.779 states/eV per atom. For the formation energy, the calculation gives -0.24 eV/atom.

(10)
Computed, not measured: a relaxed structure of Ta2IrOs at the GGA-PBE level of DFT.

Cell: 2.778 2.778 8.489 Å, 90.00 90.00 90.00°
Space group P4mm (No. 99)
Asymmetric unit:
Ta1 0.000 0.000 0.000
Ta2 0.500 0.500 0.276
Ir1 0.000 0.000 0.530
Os1 0.500 0.500 0.744

As for the density of states at the Fermi level: 0.921 states/eV per atom. For the formation energy, the calculation gives -0.07 eV/atom.

(11)
Computed, not measured: a relaxed structure of TaTiIrOs at the GGA-PBE level of DFT.

Cell: 4.244 4.244 6.973 Å, 90.00 90.00 90.00°
Space group I-4m2 (No. 119)
Asymmetric unit:
Ta1 0.000 0.000 0.000
Ti1 0.000 0.000 0.500
Ir1 0.000 0.500 0.250
Os1 0.000 0.500 0.750

As for the density of states at the Fermi level: 0.735 states/eV per atom. For the formation energy, the calculation gives -0.54 eV/atom.

(12)
Computed, not measured: a relaxed structure of TaVIrOs at the GGA-PBE level of DFT.

Cell: 6.269 6.269 6.269 Å, 90.00 90.00 90.00°
Space group F-43m (No. 216)
Asymmetric unit:
Ta1 0.000 0.000 0.000
V1 0.000 0.000 0.500
Ir1 0.250 0.250 0.250
Os1 0.250 0.250 0.750

As for the density of states at the Fermi level: 1.412 states/eV per atom. For the formation energy, the calculation gives -0.21 eV/atom.